[1]
Density functional theory data (PBE) for crystalline K2SbAsF at its relaxed geometry.

Properties
symmetry = P4/mmm, No. 123
energy relative to the elements, uncorrected = -409 meV per atom

Geometry as CIF:
```
data_K2SbAsF
_cell_length_a 6.6474
_cell_length_b 4.0668
_cell_length_c 6.6474
_cell_angle_alpha 90.00
_cell_angle_beta 90.00
_cell_angle_gamma 90.00
_symmetry_space_group_name_H-M 'P 1'
_symmetry_Int_Tables_number 1
_symmetry_space_group_name_Hall 'P 1'
loop_
_atom_site_label
_atom_site_type_symbol
_atom_site_fract_x
_atom_site_fract_y
_atom_site_fract_z
_atom_site_occupancy
Sb1 Sb 0.5000 0.5000 0.5000 1
As1 As 0.0000 0.0000 0.0000 1
K1 K 0.0000 0.0000 0.5000 1
K2 K 0.5000 0.0000 0.0000 1
F1 F 0.0000 0.5000 0.0000 1
```

***

[2]
Density functional theory data (PBE) for crystalline KSnAsF2 at its relaxed geometry.

Properties
symmetry = P4/mmm, No. 123
energy relative to the elements, uncorrected = -579 meV per atom

Geometry as CIF:
```
data_KSnAsF2
_cell_length_a 4.5525
_cell_length_b 6.2819
_cell_length_c 4.5525
_cell_angle_alpha 90.00
_cell_angle_beta 90.00
_cell_angle_gamma 90.00
_symmetry_space_group_name_H-M 'P 1'
_symmetry_Int_Tables_number 1
_symmetry_space_group_name_Hall 'P 1'
loop_
_atom_site_label
_atom_site_type_symbol
_atom_site_fract_x
_atom_site_fract_y
_atom_site_fract_z
_atom_site_occupancy
K1 K 0.0000 0.0000 0.0000 1
As1 As 0.5000 0.5000 0.5000 1
Sn1 Sn 0.0000 0.5000 0.0000 1
F1 F 0.0000 0.0000 0.5000 1
F2 F 0.5000 0.0000 0.0000 1
```

***

Copy entry 1 word for word.
Density functional theory data (PBE) for crystalline K2SbAsF at its relaxed geometry.

Properties
symmetry = P4/mmm, No. 123
energy relative to the elements, uncorrected = -409 meV per atom

Geometry as CIF:
```
data_K2SbAsF
_cell_length_a 6.6474
_cell_length_b 4.0668
_cell_length_c 6.6474
_cell_angle_alpha 90.00
_cell_angle_beta 90.00
_cell_angle_gamma 90.00
_symmetry_space_group_name_H-M 'P 1'
_symmetry_Int_Tables_number 1
_symmetry_space_group_name_Hall 'P 1'
loop_
_atom_site_label
_atom_site_type_symbol
_atom_site_fract_x
_atom_site_fract_y
_atom_site_fract_z
_atom_site_occupancy
Sb1 Sb 0.5000 0.5000 0.5000 1
As1 As 0.0000 0.0000 0.0000 1
K1 K 0.0000 0.0000 0.5000 1
K2 K 0.5000 0.0000 0.0000 1
F1 F 0.0000 0.5000 0.0000 1
```